The following is a PBE calculation of a geometry-optimized La2SmTm12 structure, from the Alexandria database.

## Properties
The calculated volume is 31.680 Å³/atom. The value obtained for the final energy is -4.45 eV/atom. The value obtained for the total moment is 0.0 μB/cell. As for the formation enthalpy at 0 K: 0.104 eV per atom.

a = 6.6165 Å, b = 6.6165 Å, c = 24.0380 Å
α = 92.25°, β = 92.25°, γ = 115.10°
With the nearest neighbours (Å) after each atom.
Positions (direct):
La 0.0614 0.0614 0.2803  2 La 3.43-3.67, 5 Tm 3.48-3.53
La 0.4210 0.4210 0.7195  2 La 3.43-3.67, 5 Tm 3.49-3.53
La 0.5790 0.5790 0.2805  2 La 3.43-3.67, 5 Tm 3.49-3.53
La 0.9386 0.9386 0.7197  2 La 3.43-3.67, 5 Tm 3.48-3.53
Sm 0.2499 0.2499 0.9999  2 Sm 3.55, 12 Tm 3.68-3.70
Sm 0.7501 0.7501 0.0001  2 Sm 3.55, 12 Tm 3.68-3.70
Tm 0.0334 0.0334 0.1349  8 Tm 3.23-3.58, 1 La 3.48
Tm 0.0469 0.5481 0.1912  9 Tm 3.35-3.58
Tm 0.0867 0.5789 0.3308  6 Tm 3.27-3.66, 4 La 3.52-3.53
Tm 0.1388 0.6383 0.5548  8 Tm 3.17-3.33
Tm 0.1415 0.1415 0.5688  8 Tm 3.32-3.72
Tm 0.2333 0.7333 0.9329  7 Tm 3.22-3.55
Tm 0.2667 0.7667 0.0671  7 Tm 3.22-3.55
Tm 0.3577 0.3577 0.4315  8 Tm 3.32-3.66
Tm 0.3617 0.8612 0.4452  8 Tm 3.17-3.33
Tm 0.4211 0.9133 0.6692  6 Tm 3.27-3.66, 4 La 3.52-3.53
Tm 0.4519 0.9531 0.8088  9 Tm 3.35-3.58
Tm 0.4660 0.4660 0.8650  8 Tm 3.23-3.58, 1 La 3.49
Tm 0.5340 0.5340 0.1350  8 Tm 3.23-3.58, 1 La 3.49
Tm 0.5481 0.0469 0.1912  9 Tm 3.35-3.58
Tm 0.5789 0.0867 0.3308  6 Tm 3.27-3.66, 4 La 3.52-3.53
Tm 0.6383 0.1388 0.5548  8 Tm 3.17-3.33
Tm 0.6423 0.6423 0.5685  8 Tm 3.32-3.66
Tm 0.7333 0.2333 0.9329  7 Tm 3.22-3.55
Tm 0.7667 0.2667 0.0671  7 Tm 3.22-3.55
Tm 0.8585 0.8585 0.4312  8 Tm 3.32-3.72
Tm 0.8612 0.3617 0.4452  8 Tm 3.17-3.33
Tm 0.9133 0.4211 0.6692  6 Tm 3.27-3.66, 4 La 3.52-3.53
Tm 0.9531 0.4519 0.8088  9 Tm 3.35-3.58
Tm 0.9666 0.9666 0.8651  8 Tm 3.23-3.58, 1 La 3.48